The following is a DFT calculation (PBE) of a relaxed structure of TcPb2.

```
TcPb2
1.0
6.9641 0.0000 0.0000
0.0000 6.9641 0.0000
0.0000 0.0000 3.3806
Tc Pb
2 4
Direct
0.0000 0.0000 0.0000
0.5000 0.5000 0.5000
0.2224 0.2224 0.5000
0.2776 0.7224 0.0000
0.7224 0.2776 0.0000
0.7776 0.7776 0.5000
```

Output
**Energy relative to the elements**: 0.51 eV per atom
**Space-group type**: P4_2/mnm
**Total energy**: -5.413 eV per atom
**Calculated volume**: 27.3 Å³ per atom
**Magnetization**: 0.53 μB/f.u.
**DOS at the Fermi energy**: 5.99 states/eV per cell